# Nb5Mo4

Crystalline Nb5Mo4 at its relaxed geometry (GGA-PBE, Alexandria via LeMat-Bulk).

energy of formation = -121 meV per atom
uncorrected energy = -10.529 eV per atom
symmetry = C2/m (12)

Geometry as POSCAR:
```
Nb5Mo4
1.0
3.238 0.012 0.010
1.636 6.875 -0.448
1.636 0.461 6.874
Mo Nb
4 5
direct
0.668 0.667 0.997 Mo
0.668 0.330 0.333 Mo
0.332 0.667 0.670 Mo
0.332 0.003 0.333 Mo
0.000 0.667 0.333 Nb
0.673 0.994 0.661 Nb
0.000 0.339 0.661 Nb
0.327 0.339 0.006 Nb
0.000 0.994 0.006 Nb
```